No. 1
Compound: Ba2Mg2Ag15
Source: the Alexandria database
Functional: PBE
Structure: optimized geometry

Calculated values
The value obtained for the volume is 1231.4 Å³/cell. The value obtained for the total energy is -2.752 eV per atom.

Structure (CIF):
```
data_Ba2Mg2Ag15
_cell_length_a 9.8635
_cell_length_b 9.8635
_cell_length_c 14.6150
_cell_angle_alpha 90.00
_cell_angle_beta 90.00
_cell_angle_gamma 120.00
_symmetry_space_group_name_H-M 'R -3 m'
_symmetry_Int_Tables_number 166
_symmetry_space_group_name_Hall '-R 3 2"'
loop_
_atom_site_label
_atom_site_type_symbol
_atom_site_fract_x
_atom_site_fract_y
_atom_site_fract_z
Ba1 Ba 0.0000 0.0000 0.1505
Mg1 Mg 0.0000 0.0000 0.3985
Ag1 Ag 0.0000 0.2925 0.5000
Ag2 Ag 0.0000 0.5000 0.0000
Ag3 Ag 0.0058 0.5029 0.3461
```

No. 2
Compound: SrScCu
Source: the Alexandria database
Functional: PBE
Structure: optimized geometry

Calculated values
The offset from the most stable computed form comes out at 0.0 meV/atom. The value obtained for the volume is 165.4 Å³/cell.

Structure (CIF):
```
data_SrScCu
_cell_length_a 4.609
_cell_length_b 4.609
_cell_length_c 7.786
_cell_angle_alpha 90.00
_cell_angle_beta 90.00
_cell_angle_gamma 90.00
_symmetry_space_group_name_H-M 'P 4/n m m'
_symmetry_Int_Tables_number 129
loop_
_symmetry_equiv_pos_as_xyz
'x,y,z'
'-x,-y,-z'
'-y+1/2,x,z'
'y+1/2,-x,-z'
'-x+1/2,-y+1/2,z'
'x+1/2,y+1/2,-z'
'y,-x+1/2,z'
'-y,x+1/2,-z'
'x+1/2,-y,-z'
'-x+1/2,y,z'
'-y,-x,-z'
'y,x,z'
'-x,y+1/2,-z'
'x,-y+1/2,z'
'y+1/2,x+1/2,-z'
'-y+1/2,-x+1/2,z'
loop_
_atom_site_label
_atom_site_type_symbol
_atom_site_fract_x
_atom_site_fract_y
_atom_site_fract_z
Sr1 Sr 0.250 0.250 0.144
Sc1 Sc 0.250 0.750 0.500
Cu1 Cu 0.250 0.250 0.695
```

No. 3
Compound: Ac3Mg2Zn4
Source: the Alexandria database
Functional: PBE
Structure: optimized geometry

Calculated values
The value obtained for the volume is 492.9 Å³/cell. The value obtained for the total energy is -2.491 eV per atom.

Structure (CIF):
```
data_Ac3Mg2Zn4
_cell_length_a 12.426
_cell_length_b 4.715
_cell_length_c 9.110
_cell_angle_alpha 90.00
_cell_angle_beta 112.56
_cell_angle_gamma 90.00
_symmetry_space_group_name_H-M 'C 1 2/m 1'
_symmetry_Int_Tables_number 12
loop_
_symmetry_equiv_pos_as_xyz
'x,y,z'
'-x,-y,-z'
'-x,y,-z'
'x,-y,z'
'x+1/2,y+1/2,z'
'-x+1/2,-y+1/2,-z'
'-x+1/2,y+1/2,-z'
'x+1/2,-y+1/2,z'
loop_
_atom_site_label
_atom_site_type_symbol
_atom_site_fract_x
_atom_site_fract_y
_atom_site_fract_z
Ac1 Ac 0.000 0.000 0.000
Ac2 Ac 0.125 0.500 0.695
Mg1 Mg 0.174 0.500 0.342
Zn1 Zn 0.083 0.000 0.418
Zn2 Zn 0.226 0.500 0.064
```

No. 4
Compound: HfNi5P2
Source: the Alexandria database
Functional: PBE
Structure: optimized geometry

Calculated values
The value obtained for the volume is 197.5 Å³/cell. The value obtained for the total energy is -6.838 eV per atom.

Structure (CIF):
```
data_HfNi5P2
_cell_length_a 3.574
_cell_length_b 6.460
_cell_length_c 8.554
_cell_angle_alpha 90.00
_cell_angle_beta 90.00
_cell_angle_gamma 90.00
_symmetry_space_group_name_H-M 'I m m m'
_symmetry_Int_Tables_number 71
_symmetry_space_group_name_Hall '-I 2 2'
loop_
_atom_site_label
_atom_site_type_symbol
_atom_site_fract_x
_atom_site_fract_y
_atom_site_fract_z
Hf1 Hf 0.000 0.000 0.000
Ni1 Ni 0.000 0.194 0.351
Ni2 Ni 0.000 0.500 0.000
P1 P 0.000 0.500 0.254
```

No. 5
Compound: SiBiHBr2
Source: the Alexandria database
Functional: PBE
Structure: optimized geometry

Calculated values
The value obtained for the volume is 140.4 Å³/cell. The value obtained for the total energy is -2.682 eV per atom.

Structure (CIF):
```
data_SiBiHBr2
_cell_length_a 5.876
_cell_length_b 5.876
_cell_length_c 4.066
_cell_angle_alpha 90.00
_cell_angle_beta 90.00
_cell_angle_gamma 90.00
_symmetry_space_group_name_H-M 'P 4/m m m'
_symmetry_Int_Tables_number 123
_symmetry_space_group_name_Hall '-P 4 2'
loop_
_atom_site_label
_atom_site_type_symbol
_atom_site_fract_x
_atom_site_fract_y
_atom_site_fract_z
Si1 Si 0.000 0.000 0.000
Bi1 Bi 0.500 0.500 0.500
H1 H 0.500 0.500 0.000
Br1 Br 0.000 0.500 0.500
```

No. 6
Compound: Mn2ZnGe2
Source: the Alexandria database
Functional: PBE
Structure: optimized geometry

Calculated values
The offset from the most stable computed form comes out at 0.0 meV/atom. The value obtained for the volume is 141.8 Å³/cell.

Structure (CIF):
```
data_Mn2ZnGe2
_cell_length_a 6.654
_cell_length_b 6.654
_cell_length_c 3.202
_cell_angle_alpha 90.00
_cell_angle_beta 90.00
_cell_angle_gamma 90.00
_symmetry_space_group_name_H-M 'P 4/m b m'
_symmetry_Int_Tables_number 127
_symmetry_space_group_name_Hall '-P 4 2ab'
loop_
_atom_site_label
_atom_site_type_symbol
_atom_site_fract_x
_atom_site_fract_y
_atom_site_fract_z
Mn1 Mn 0.144 0.356 0.000
Zn1 Zn 0.000 0.000 0.000
Ge1 Ge 0.153 0.653 0.500
```

No. 7
Compound: CaNb3H
Source: the Alexandria database
Functional: PBE
Structure: optimized geometry

Calculated values
The offset from the most stable computed form comes out at 2535.6 meV/atom. The value obtained for the volume is 111.1 Å³/cell.

Structure (CIF):
```
data_CaNb3H
_cell_length_a 4.808
_cell_length_b 4.808
_cell_length_c 4.808
_cell_angle_alpha 90.00
_cell_angle_beta 90.00
_cell_angle_gamma 90.00
_symmetry_space_group_name_H-M 'P m -3 m'
_symmetry_Int_Tables_number 221
_symmetry_space_group_name_Hall '-P 4 2 3'
loop_
_atom_site_label
_atom_site_type_symbol
_atom_site_fract_x
_atom_site_fract_y
_atom_site_fract_z
Ca1 Ca 0.000 0.000 0.000
Nb1 Nb 0.000 0.000 0.500
H1 H 0.500 0.500 0.500
```

No. 8
Compound: CrTc
Source: the Alexandria database
Functional: PBE
Structure: optimized geometry

Calculated values
The value obtained for the volume is 26.9 Å³/cell. The value obtained for the total energy is -9.733 eV per atom.

Structure (CIF):
```
data_CrTc
_cell_length_a 2.7185
_cell_length_b 2.7185
_cell_length_c 4.1974
_cell_angle_alpha 90.00
_cell_angle_beta 90.00
_cell_angle_gamma 120.00
_symmetry_space_group_name_H-M 'P -6 m 2'
_symmetry_Int_Tables_number 187
_symmetry_space_group_name_Hall 'P -6 2'
loop_
_atom_site_label
_atom_site_type_symbol
_atom_site_fract_x
_atom_site_fract_y
_atom_site_fract_z
Cr1 Cr 0.0000 0.0000 0.0000
Tc1 Tc 0.3333 0.6667 0.5000
```

No. 9
Compound: ZnHg3Pt
Source: the Alexandria database
Functional: PBE
Structure: optimized geometry

Calculated values
The offset from the most stable computed form comes out at 0.0 meV/atom. The value obtained for the volume is 151.4 Å³/cell.

Structure (CIF):
```
data_ZnHg3Pt
_cell_length_a 5.330
_cell_length_b 5.330
_cell_length_c 5.330
_cell_angle_alpha 90.00
_cell_angle_beta 90.00
_cell_angle_gamma 90.00
_symmetry_space_group_name_H-M 'P m -3 m'
_symmetry_Int_Tables_number 221
_symmetry_space_group_name_Hall '-P 4 2 3'
loop_
_atom_site_label
_atom_site_type_symbol
_atom_site_fract_x
_atom_site_fract_y
_atom_site_fract_z
Zn1 Zn 0.000 0.000 0.000
Hg1 Hg 0.000 0.500 0.500
Pt1 Pt 0.500 0.500 0.500
```

No. 10
Compound: TiCd2Sn
Source: the Alexandria database
Functional: PBE
Structure: optimized geometry

Calculated values
The value obtained for the volume is 283.4 Å³/cell. The value obtained for the total energy is -3.029 eV per atom.

Structure (CIF):
```
data_TiCd2Sn
_cell_length_a 3.0524
_cell_length_b 3.0524
_cell_length_c 35.1168
_cell_angle_alpha 90.00
_cell_angle_beta 90.00
_cell_angle_gamma 120.00
_symmetry_space_group_name_H-M 'R -3 m'
_symmetry_Int_Tables_number 166
_symmetry_space_group_name_Hall '-R 3 2"'
loop_
_atom_site_label
_atom_site_type_symbol
_atom_site_fract_x
_atom_site_fract_y
_atom_site_fract_z
Ti1 Ti 0.0000 0.0000 0.0000
Cd1 Cd 0.0000 0.0000 0.0819
Sn1 Sn 0.0000 0.0000 0.5000
```

No. 11
Compound: CePuInPb
Source: the Alexandria database
Functional: PBE
Structure: optimized geometry

Calculated values
The offset from the most stable computed form comes out at 103.4 meV/atom. The value obtained for the volume is 462.6 Å³/cell.

Structure (CIF):
```
data_CePuInPb
_cell_length_a 7.734
_cell_length_b 7.734
_cell_length_c 7.734
_cell_angle_alpha 90.00
_cell_angle_beta 90.00
_cell_angle_gamma 90.00
_symmetry_space_group_name_H-M 'F -4 3 m'
_symmetry_Int_Tables_number 216
_symmetry_space_group_name_Hall 'F -4 2 3'
loop_
_atom_site_label
_atom_site_type_symbol
_atom_site_fract_x
_atom_site_fract_y
_atom_site_fract_z
Ce1 Ce 0.000 0.000 0.000
Pu1 Pu 0.000 0.000 0.500
In1 In 0.250 0.250 0.750
Pb1 Pb 0.250 0.250 0.250
```

No. 12
Compound: KLiTl2
Source: the Alexandria database
Functional: PBE
Structure: optimized geometry

Calculated values
The offset from the most stable computed form comes out at 183.3 meV/atom. The value obtained for the volume is 626.9 Å³/cell.

Structure (CIF):
```
data_KLiTl2
_cell_length_a 5.528
_cell_length_b 5.528
_cell_length_c 20.512
_cell_angle_alpha 90.00
_cell_angle_beta 90.00
_cell_angle_gamma 90.00
_symmetry_space_group_name_H-M 'I -4 2 d'
_symmetry_Int_Tables_number 122
_symmetry_space_group_name_Hall 'I -4 2bw'
loop_
_atom_site_label
_atom_site_type_symbol
_atom_site_fract_x
_atom_site_fract_y
_atom_site_fract_z
K1 K 0.000 0.000 0.000
Li1 Li 0.000 0.000 0.500
Tl1 Tl 0.095 0.250 0.625
```